Compound: SbHRh3
Source: Alexandria
Functional: PBE-GGA
Structure: optimized geometry

The structure belongs to space group R-3 (No. 148, hexagonal axes); the cell edges are 5.0403, 5.0403 and 19.1270 Å and the angles 90.00°, 90.00° and 120.00°. The asymmetric unit holds Sb at (0.0000, 0.0000, 0.1667), H at (0.0000, 0.0000, 0.4275) and Rh at (0.0000, 0.3363, 0.6074).

The excess energy over the best structure of this formula in the dataset is 0.244 eV per atom. As for the total DFT energy (no corrections): -29.71 eV per formula unit.